No. 1
Th4PdRh PBE optimized geometry; DFT total energy = -45.5 eV per formula unit; crystal system = tetragonal; ΔH_f (0 K) = -0.54 eV per atom
1.0
-5.7541 1.4174 0.7887
-1.8136 -7.0152 -0.6246
0.7774 -0.8405 7.1820
Pd Th Rh
2 8 2
direct
0.2500 0.0000 0.0000
0.7500 0.0000 0.0000
0.5000 0.3404 0.8313
0.5000 0.6596 0.1687
0.5000 0.1687 0.3404
0.0000 0.6596 0.8313
0.0000 0.1687 0.6596
0.0000 0.3404 0.1687
0.0000 0.8313 0.3404
0.5000 0.8313 0.6596
0.7500 0.5000 0.5000
0.2500 0.5000 0.5000


No. 2
Y2HfIr PBE optimized geometry; DFT total energy = -31.8 eV per formula unit; crystal system = cubic; ΔH_f (0 K) = 0.00 eV per atom
1.0
1.0793 -2.5077 4.2450
-0.7924 2.1733 4.4858
-3.7291 -1.6442 2.9772
Hf Y Ir
1 2 1
direct
0.0000 0.0000 0.0000
0.7500 0.7500 0.7500
0.2500 0.2500 0.2500
0.5000 0.5000 0.5000


Repeat the second record exactly.
Y2HfIr PBE optimized geometry; DFT total energy = -31.8 eV per formula unit; crystal system = cubic; ΔH_f (0 K) = 0.00 eV per atom
1.0
1.0793 -2.5077 4.2450
-0.7924 2.1733 4.4858
-3.7291 -1.6442 2.9772
Hf Y Ir
1 2 1
direct
0.0000 0.0000 0.0000
0.7500 0.7500 0.7500
0.2500 0.2500 0.2500
0.5000 0.5000 0.5000